1.
A relaxed Ag2AsPSe4 crystal. Source: the Alexandria database, functional GGA-PBE.

Unit cell a=5.9858 b=6.0730 c=6.3506 alpha=96.29 beta=96.56 gamma=92.80
Last column: nearest neighbours and their distance in Å.
Fractional coordinates of all 8 atoms:
Ag  0.0000  0.0000  0.0000  3 Se 2.61-2.69
Ag  0.0102  0.9709  0.4965  3 Se 2.62-2.66
As  0.3538  0.5635  0.8502  3 Se 2.38-2.51
P  0.5708  0.3129  0.3487  3 Se 2.26-2.35
Se  0.2301  0.3790  0.1493  1 P 2.35, 1 As 2.47
Se  0.3991  0.2005  0.6340  1 P 2.33, 1 As 2.51
Se  0.6464  0.9652  0.2226  1 P 2.26
Se  0.9751  0.6384  0.7342  1 As 2.38, 2 Ag 2.61-2.66

Calculated values
Density of states at the Fermi level (states/eV/cell): 0.00

---

2.
A relaxed Mg2TiBH crystal. Source: the Alexandria database, functional GGA-PBE.

Unit cell a=5.1647 b=5.1647 c=2.8935 alpha=90.00 beta=90.00 gamma=90.00
Last column: nearest neighbours and their distance in Å.
Fractional coordinates of all 5 atoms:
Mg  0.0000  0.5000  0.0000  2 B 2.58
Mg  0.5000  0.0000  0.0000  2 B 2.58
Ti  0.0000  0.0000  0.5000  2 Ti 2.89, 8 Mg 2.96
B  0.5000  0.5000  0.0000  2 H 1.45
H  0.5000  0.5000  0.5000  2 B 1.45

Calculated values
Density of states at the Fermi level (states/eV/cell): 2.83

---

M_tot values (in μB/atom) by entry order: 0.000 0.322.
Calculated volume values (in Å³ per cell) by entry order: 228 77.
Energy values (in eV for the cell shown) by entry order: -30.26 -17.14.